Density functional theory data (PBE-GGA) for an optimized crystal structure of Ho2PaBi3.

a = 4.4759 Å, b = 4.4758 Å, c = 9.9718 Å
α = 102.97°, β = 102.97°, γ = 90.00°
Site moments in Bohr magnetons follow the coordinates.
Atoms (fractional coordinates):
Bi 0.2672 0.2684 0.5397  -0.01
Bi 0.9340 0.9360 0.8740  -0.03
Bi 0.6014 0.6027 0.2082  -0.01
Ho 0.1019 0.1032 0.2092  0.01
Ho 0.7667 0.7679 0.5387  0.01
Pa 0.4340 0.4359 0.8740  1.04

## Properties
Its density of states at the Fermi level is 1.061 states/eV/atom. The calculation puts the energy of formation at -0.56 eV/atom.

=====

Density functional theory data (PBE-GGA) for an optimized crystal structure of LiThMgIr.

a = 4.8437 Å, b = 4.8437 Å, c = 4.8437 Å
α = 60.00°, β = 60.00°, γ = 60.00°
Atoms (fractional coordinates):
Ir 0.7500 0.7500 0.7500
Th 0.0000 0.0000 0.0000
Mg 0.5000 0.5000 0.5000
Li 0.2500 0.2500 0.2500

## Properties
Its density of states at the Fermi level is 0.590 states/eV/atom. The calculation puts the energy of formation at -0.41 eV/atom.

=====

Density functional theory data (PBE-GGA) for an optimized crystal structure of PrZr3F15.

a = 8.3681 Å, b = 8.3681 Å, c = 8.3371 Å
α = 78.98°, β = 78.98°, γ = 98.81°
Atoms (fractional coordinates):
Zr 0.6795 0.7357 0.1703
Zr 0.3205 0.2643 0.8297
Zr 0.7357 0.6795 0.6703
Zr 0.2431 0.7569 0.7500
Zr 0.2643 0.3205 0.3297
Zr 0.7569 0.2431 0.2500
F 0.9297 0.8004 0.1504
F 0.6791 0.6519 0.9393
F 0.5289 0.1619 0.8147
F 0.4711 0.8381 0.1853
F 0.7227 0.2366 0.4980
F 0.3481 0.3209 0.5607
F 0.6519 0.6791 0.4393
F 0.2773 0.7634 0.5020
F 0.2263 0.4985 0.7887
F 0.7737 0.5015 0.2113
F 0.1996 0.0703 0.3496
F 0.9453 0.7504 0.4770
F 0.5015 0.7737 0.7113
F 0.2728 0.0050 0.7189
F 0.2366 0.7227 0.9980
F 0.4697 0.5303 0.2500
F 0.8381 0.4711 0.6853
F 0.0547 0.2496 0.5230
F 0.0703 0.1996 0.8496
F 0.4985 0.2263 0.2887
F 0.7272 0.9950 0.2811
F 0.7504 0.9453 0.9770
F 0.7634 0.2773 0.0020
F 0.9950 0.7272 0.7811
F 0.1619 0.5289 0.3147
F 0.2496 0.0547 0.0230
F 0.3209 0.3481 0.0607
F 0.5303 0.4697 0.7500
F 0.0050 0.2728 0.2189
F 0.8004 0.9297 0.6504
Pr 0.8222 0.1778 0.7500
Pr 0.1778 0.8222 0.2500

## Properties
The uncorrected formation energy is -3.77 eV/atom. The relative energy among the computed polymorphs is 0.4 kJ/mol of atoms. Its density of states at the Fermi level is 0.000 states/eV/atom.

=====

Density functional theory data (PBE-GGA) for an optimized crystal structure of Cs2RbAgCl5.

a = 4.9746 Å, b = 9.5632 Å, c = 14.4615 Å
α = 90.00°, β = 90.00°, γ = 105.08°
Atoms (fractional coordinates):
Cl 0.9819 0.9638 0.4720
Cl 0.3600 0.7199 0.4003
Cl 0.3878 0.7756 0.0052
Cl 0.5333 0.0666 0.2590
Cl 0.6122 0.2244 0.5052
Cl 0.2672 0.5344 0.6788
Cl 0.4667 0.9334 0.7590
Cl 0.6400 0.2801 0.9003
Cl 0.7328 0.4656 0.1788
Cl 0.0181 0.0362 0.9720
Ag 0.5112 0.0224 0.9417
Ag 0.4888 0.9776 0.4417
Cs 0.9141 0.8282 0.1988
Cs 0.8457 0.6914 0.8258
Cs 0.1543 0.3086 0.3258
Cs 0.0859 0.1718 0.6988
Rb 0.1945 0.3890 0.0423
Rb 0.8055 0.6110 0.5423

## Properties
The uncorrected formation energy is -1.42 eV/atom. Its density of states at the Fermi level is 0.464 states/eV/atom.

=====

Density functional theory data (PBE-GGA) for an optimized crystal structure of HfCr3Ge.

a = 4.7743 Å, b = 4.7743 Å, c = 4.7743 Å
α = 90.00°, β = 90.00°, γ = 90.00°
Site moments in Bohr magnetons follow the coordinates.
Atoms (fractional coordinates):
Hf 0.0000 0.0000 0.0000  -0.19
Cr 0.0000 0.5000 0.0000  2.83
Cr 0.5000 0.0000 0.0000  3.38
Cr 0.0000 0.0000 0.5000  2.67
Ge 0.5000 0.5000 0.5000  -0.11

## Properties
The relative energy among the computed polymorphs is 85.7 kJ/mol of atoms. Its density of states at the Fermi level is 1.321 states/eV/atom. The calculation puts the energy of formation at 1.76 eV/atom.

=====

Density functional theory data (PBE-GGA) for an optimized crystal structure of TaSeSCl2.

a = 4.9010 Å, b = 4.9010 Å, c = 4.7769 Å
α = 90.00°, β = 90.00°, γ = 90.00°
Site moments in Bohr magnetons follow the coordinates.
Atoms (fractional coordinates):
Cl 0.5000 0.0000 0.0000  0.05
Cl 0.0000 0.5000 0.0000  0.05
Ta 0.0000 0.0000 0.0000  0.04
Se 0.5000 0.5000 0.5000  0.99
S 0.0000 0.0000 0.5000  0.06

## Properties
The uncorrected formation energy is -0.16 eV/atom. The relative energy among the computed polymorphs is 0.0 kJ/mol of atoms. Its density of states at the Fermi level is 0.786 states/eV/atom.

=====

Density functional theory data (PBE-GGA) for an optimized crystal structure of TiCo3Pb.

a = 4.3871 Å, b = 4.3871 Å, c = 4.3871 Å
α = 90.00°, β = 90.00°, γ = 90.00°
Site moments in Bohr magnetons follow the coordinates.
Atoms (fractional coordinates):
Co 0.5000 0.0000 0.0000  0.63
Co 0.0000 0.0000 0.5000  0.64
Co 0.0000 0.5000 0.0000  0.66
Ti 0.0000 0.0000 0.0000  -0.29
Pb 0.5000 0.5000 0.5000  0.03

## Properties
The relative energy among the computed polymorphs is 0.0 kJ/mol of atoms. Its density of states at the Fermi level is 1.275 states/eV/atom. The calculation puts the energy of formation at 0.91 eV/atom.

=====

Density functional theory data (PBE-GGA) for an optimized crystal structure of NaSr2Nd.

a = 4.2183 Å, b = 6.4486 Å, c = 6.4486 Å
α = 90.00°, β = 90.00°, γ = 90.00°
Atoms (fractional coordinates):
Sr 0.0000 0.0000 0.5000
Sr 0.0000 0.5000 0.0000
Na 0.5000 0.5000 0.5000
Nd 0.5000 0.0000 0.0000

## Properties
The relative energy among the computed polymorphs is 5.8 kJ/mol of atoms. Its density of states at the Fermi level is 1.077 states/eV/atom. The calculation puts the energy of formation at 0.16 eV/atom.

=====

Density functional theory data (PBE-GGA) for an optimized crystal structure of Li2NbAgAs.

a = 4.5336 Å, b = 4.9558 Å, c = 4.5336 Å
α = 90.00°, β = 90.00°, γ = 90.00°
Site moments in Bohr magnetons follow the coordinates.
Atoms (fractional coordinates):
Nb 0.0000 0.5000 0.0000  0.76
Li 0.0000 0.0000 0.5000  -0.01
Li 0.5000 0.0000 0.0000  0.00
As 0.0000 0.0000 0.0000  -0.04
Ag 0.5000 0.5000 0.5000  0.03

## Properties
Its density of states at the Fermi level is 0.534 states/eV/atom. The calculation puts the energy of formation at 0.15 eV/atom.

=====

Density functional theory data (PBE-GGA) for an optimized crystal structure of Eu2CdAs.

a = 4.4063 Å, b = 4.4063 Å, c = 8.2368 Å
α = 74.49°, β = 74.49°, γ = 60.00°
Site moments in Bohr magnetons follow the coordinates.
Atoms (fractional coordinates):
Cd 0.5000 0.5000 0.5000  0.06
Eu 0.7344 0.7344 0.7968  6.83
Eu 0.2656 0.2656 0.2032  6.83
As 0.0000 0.0000 0.0000  -0.08

## Properties
The relative energy among the computed polymorphs is 4.0 kJ/mol of atoms. Its density of states at the Fermi level is 5.213 states/eV/atom. The calculation puts the energy of formation at -0.71 eV/atom.

=====

Density functional theory data (PBE-GGA) for an optimized crystal structure of Tb6Sm5Ho.

a = 5.0660 Å, b = 10.1405 Å, c = 9.4836 Å
α = 122.32°, β = 105.51°, γ = 90.00°
Atoms (fractional coordinates):
Tb 0.5001 0.7512 0.0000
Tb 0.1665 0.9171 0.3328
Tb 0.8336 0.5844 0.6672
Tb 0.4999 0.2488 0.0000
Tb 0.1664 0.4156 0.3328
Tb 0.8335 0.0829 0.6672
Sm 0.3341 0.8340 0.6681
Sm 0.3334 0.3334 0.6668
Sm 0.6659 0.1660 0.3319
Sm 0.6666 0.6666 0.3332
Sm 0.0000 0.5000 0.0000
Ho 0.0000 0.0000 0.0000

## Properties
Its density of states at the Fermi level is 1.391 states/eV/atom. The calculation puts the energy of formation at 0.02 eV/atom.

=====

Density functional theory data (PBE-GGA) for an optimized crystal structure of InSe.

a = 8.8820 Å, b = 8.8820 Å, c = 8.8820 Å
α = 90.00°, β = 90.00°, γ = 90.00°
Atoms (fractional coordinates):
In 0.1470 0.1470 0.8530
In 0.8530 0.1470 0.1470
In 0.6470 0.6470 0.3530
In 0.3530 0.3530 0.3530
In 0.6470 0.3530 0.6470
In 0.3530 0.6470 0.6470
In 0.1470 0.8530 0.1470
In 0.8530 0.8530 0.8530
Se 0.1766 0.8234 0.8234
Se 0.8234 0.8234 0.1766
Se 0.1766 0.1766 0.1766
Se 0.3234 0.6766 0.3234
Se 0.6766 0.3234 0.3234
Se 0.6766 0.6766 0.6766
Se 0.8234 0.1766 0.8234
Se 0.3234 0.3234 0.6766

## Properties
The uncorrected formation energy is -0.25 eV/atom. Its density of states at the Fermi level is 0.808 states/eV/atom.

=====

| no. | calculated total energy (eV per atom) |
| --- | --- |
| 1 | -5.613 |
| 2 | -5.362 |
| 3 | -6.846 |
| 4 | -3.064 |
| 5 | -6.932 |
| 6 | -4.787 |
| 7 | -5.670 |
| 8 | -2.199 |
| 9 | -4.134 |
| 10 | -7.241 |
| 11 | -4.646 |
| 12 | -3.366 |